No. 1
A plane-wave DFT calculation with GGA-PBE was carried out for crystalline DyMg2Sc at its relaxed geometry.

## Properties
crystal system: tetragonal
energy of formation: -0.21 eV per formula unit
symmetry: No. 123
DOS at the Fermi energy: 5.8 states/eV per cell
spin magnetization: 0.00 μB per formula unit

Lattice parameters (Å, degrees): 3.683 3.683 7.445 90.00 90.00 90.00
Element x y z (fractional)
Dy (0.000, 0.000, 0.000)
Mg (0.500, 0.500, 0.269)
Mg (0.500, 0.500, 0.731)
Sc (0.000, 0.000, 0.500)

No. 2
A plane-wave DFT calculation with GGA-PBE was carried out for crystalline DyMg4Sc at its relaxed geometry.

## Properties
crystal system: cubic
energy of formation: -0.13 eV per formula unit
energy above the most stable polymorph in this dataset: 0.012 eV/atom
symmetry: No. 216
DOS at the Fermi energy: 8.2 states/eV per cell
spin magnetization: 0.00 μB per formula unit

Lattice parameters (Å, degrees): 5.933 5.933 5.933 60.00 60.00 60.00
Element x y z (fractional)
Dy (0.000, 0.000, 0.000)
Mg (0.126, 0.625, 0.625)
Mg (0.625, 0.126, 0.625)
Mg (0.625, 0.625, 0.126)
Mg (0.625, 0.625, 0.625)
Sc (0.250, 0.250, 0.250)

No. 3
A plane-wave DFT calculation with GGA-PBE was carried out for crystalline Dy2MgSc2 at its relaxed geometry.

## Properties
crystal system: monoclinic
energy of formation: 0.14 eV per formula unit
energy above the most stable polymorph in this dataset: 0.000 eV/atom
symmetry: No. 15
DOS at the Fermi energy: 13.1 states/eV per cell
spin magnetization: 0.00 μB per formula unit

Lattice parameters (Å, degrees): 7.937 7.937 6.394 103.49 103.49 43.94
Element x y z (fractional)
Dy (0.106, 0.292, 0.153)
Dy (0.292, 0.106, 0.653)
Dy (0.708, 0.894, 0.347)
Dy (0.894, 0.708, 0.847)
Mg (0.092, 0.908, 0.250)
Mg (0.908, 0.092, 0.750)
Sc (0.322, 0.486, 0.550)
Sc (0.486, 0.322, 0.050)
Sc (0.514, 0.678, 0.950)
Sc (0.678, 0.514, 0.450)

No. 4
A plane-wave DFT calculation with GGA-PBE was carried out for crystalline Dy2Mg2Sc at its relaxed geometry.

## Properties
crystal system: orthorhombic
energy of formation: 0.75 eV per formula unit
energy above the most stable polymorph in this dataset: 0.184 eV/atom
symmetry: No. 71
DOS at the Fermi energy: 13.4 states/eV per cell
spin magnetization: 0.00 μB per formula unit

Lattice parameters (Å, degrees): 3.636 7.489 10.351 90.00 90.00 90.00
Element x y z (fractional)
Dy (0.000, 0.000, 0.239)
Dy (0.000, 0.000, 0.761)
Dy (0.500, 0.500, 0.261)
Dy (0.500, 0.500, 0.739)
Mg (0.000, 0.309, 0.500)
Mg (0.000, 0.691, 0.500)
Mg (0.500, 0.191, 0.000)
Mg (0.500, 0.809, 0.000)
Sc (0.000, 0.500, 0.000)
Sc (0.500, 0.000, 0.500)

No. 5
A plane-wave DFT calculation with GGA-PBE was carried out for crystalline Dy2MgSc6 at its relaxed geometry.

## Properties
crystal system: monoclinic
energy of formation: 0.63 eV per formula unit
energy above the most stable polymorph in this dataset: 0.000 eV/atom
symmetry: No. 12
DOS at the Fermi energy: 16.2 states/eV per cell
spin magnetization: 0.00 μB per formula unit

Lattice parameters (Å, degrees): 8.199 8.199 11.106 125.23 125.23 23.13
Element x y z (fractional)
Dy (0.170, 0.170, 0.321)
Dy (0.830, 0.830, 0.679)
Mg (0.500, 0.500, 0.000)
Sc (0.108, 0.108, 0.554)
Sc (0.269, 0.269, 0.892)
Sc (0.447, 0.447, 0.250)
Sc (0.553, 0.553, 0.750)
Sc (0.731, 0.731, 0.108)
Sc (0.892, 0.892, 0.446)

No. 6
A plane-wave DFT calculation with GGA-PBE was carried out for crystalline Dy2Mg7Sc2 at its relaxed geometry.

## Properties
crystal system: orthorhombic
energy of formation: 0.76 eV per formula unit
symmetry: No. 44
DOS at the Fermi energy: 11.4 states/eV per cell
spin magnetization: 0.01 μB per formula unit

Lattice parameters (Å, degrees): 8.475 8.475 8.475 144.40 65.73 126.72
Element x y z (fractional)
Dy (0.218, 0.000, 0.218)
Dy (0.782, 0.000, 0.782)
Mg (0.067, 0.687, 0.380)
Mg (0.225, 0.225, 0.000)
Mg (0.307, 0.687, 0.620)
Mg (0.367, 0.516, 0.851)
Mg (0.665, 0.516, 0.149)
Mg (0.676, 0.308, 0.368)
Mg (0.939, 0.308, 0.632)
Sc (0.513, 0.013, 0.500)
Sc (0.816, 0.816, 0.000)

No. 7
A plane-wave DFT calculation with GGA-PBE was carried out for crystalline Dy2MgSc8 at its relaxed geometry.

## Properties
crystal system: tetragonal
energy of formation: 1.67 eV per formula unit
symmetry: No. 123
DOS at the Fermi energy: 18.3 states/eV per cell
spin magnetization: 0.00 μB per formula unit

Lattice parameters (Å, degrees): 4.692 4.692 13.315 90.00 90.00 90.00
Element x y z (fractional)
Dy (0.000, 0.000, 0.182)
Dy (0.000, 0.000, 0.818)
Mg (0.000, 0.000, 0.500)
Sc (0.000, 0.500, 0.000)
Sc (0.000, 0.500, 0.351)
Sc (0.000, 0.500, 0.649)
Sc (0.500, 0.000, 0.000)
Sc (0.500, 0.000, 0.351)
Sc (0.500, 0.000, 0.649)
Sc (0.500, 0.500, 0.177)
Sc (0.500, 0.500, 0.823)

No. 8
A plane-wave DFT calculation with GGA-PBE was carried out for crystalline DyMg15Sc4 at its relaxed geometry.

## Properties
crystal system: tetragonal
energy of formation: -0.89 eV per formula unit
symmetry: No. 123
DOS at the Fermi energy: 17.1 states/eV per cell
spin magnetization: 0.00 μB per formula unit

Lattice parameters (Å, degrees): 4.587 4.587 22.251 90.00 90.00 90.00
Element x y z (fractional)
Dy (0.000, 0.000, 0.000)
Mg (0.000, 0.500, 0.106)
Mg (0.000, 0.500, 0.304)
Mg (0.000, 0.500, 0.500)
Mg (0.000, 0.500, 0.696)
Mg (0.000, 0.500, 0.894)
Mg (0.500, 0.000, 0.106)
Mg (0.500, 0.000, 0.304)
Mg (0.500, 0.000, 0.500)
Mg (0.500, 0.000, 0.696)
Mg (0.500, 0.000, 0.894)
Mg (0.500, 0.500, 0.000)
Mg (0.500, 0.500, 0.206)
Mg (0.500, 0.500, 0.402)
Mg (0.500, 0.500, 0.598)
Mg (0.500, 0.500, 0.794)
Sc (0.000, 0.000, 0.205)
Sc (0.000, 0.000, 0.402)
Sc (0.000, 0.000, 0.598)
Sc (0.000, 0.000, 0.795)

No. 9
A plane-wave DFT calculation with GGA-PBE was carried out for crystalline DyMg5Sc2 at its relaxed geometry.

## Properties
crystal system: tetragonal
energy of formation: 0.74 eV per formula unit
energy above the most stable polymorph in this dataset: 0.143 eV/atom
symmetry: No. 140
DOS at the Fermi energy: 19.8 states/eV per cell
spin magnetization: 0.00 μB per formula unit

Lattice parameters (Å, degrees): 8.362 8.362 8.362 122.59 122.59 85.58
Element x y z (fractional)
Dy (0.250, 0.250, 0.000)
Dy (0.750, 0.750, 0.000)
Mg (0.000, 0.000, 0.000)
Mg (0.021, 0.521, 0.214)
Mg (0.194, 0.979, 0.500)
Mg (0.306, 0.806, 0.786)
Mg (0.479, 0.694, 0.500)
Mg (0.500, 0.500, 0.000)
Mg (0.521, 0.306, 0.500)
Mg (0.694, 0.194, 0.214)
Mg (0.806, 0.021, 0.500)
Mg (0.979, 0.479, 0.786)
Sc (0.155, 0.345, 0.500)
Sc (0.345, 0.845, 0.191)
Sc (0.655, 0.155, 0.809)
Sc (0.845, 0.655, 0.500)

No. 10
A plane-wave DFT calculation with GGA-PBE was carried out for crystalline Dy6MgSc12 at its relaxed geometry.

## Properties
crystal system: trigonal
energy of formation: 3.10 eV per formula unit
symmetry: No. 148
DOS at the Fermi energy: 38.1 states/eV per cell
spin magnetization: 0.00 μB per formula unit

Lattice parameters (Å, degrees): 8.033 8.033 8.033 93.00 93.00 93.00
Element x y z (fractional)
Dy (0.216, 0.382, 0.763)
Dy (0.237, 0.784, 0.618)
Dy (0.382, 0.763, 0.216)
Dy (0.618, 0.237, 0.784)
Dy (0.763, 0.216, 0.382)
Dy (0.784, 0.618, 0.237)
Mg (0.500, 0.500, 0.500)
Sc (0.031, 0.714, 0.967)
Sc (0.033, 0.969, 0.286)
Sc (0.131, 0.441, 0.357)
Sc (0.286, 0.033, 0.969)
Sc (0.357, 0.131, 0.441)
Sc (0.441, 0.357, 0.131)
Sc (0.559, 0.643, 0.869)
Sc (0.643, 0.869, 0.559)
Sc (0.714, 0.967, 0.031)
Sc (0.869, 0.559, 0.643)
Sc (0.967, 0.031, 0.714)
Sc (0.969, 0.286, 0.033)

No. 11
A plane-wave DFT calculation with GGA-PBE was carried out for crystalline Dy2Mg3Sc3 at its relaxed geometry.

## Properties
crystal system: trigonal
energy of formation: 0.01 eV per formula unit
symmetry: No. 160
DOS at the Fermi energy: 10.2 states/eV per cell
spin magnetization: 0.00 μB per formula unit

Lattice parameters (Å, degrees): 9.099 9.099 9.099 33.41 33.41 33.41
Element x y z (fractional)
Dy (0.000, 0.000, 0.000)
Dy (0.499, 0.499, 0.499)
Mg (0.376, 0.376, 0.376)
Mg (0.624, 0.624, 0.624)
Mg (0.872, 0.872, 0.872)
Sc (0.125, 0.125, 0.125)
Sc (0.251, 0.251, 0.251)
Sc (0.747, 0.747, 0.747)

No. 12
A plane-wave DFT calculation with GGA-PBE was carried out for crystalline Dy7MgSc2 at its relaxed geometry.

## Properties
crystal system: orthorhombic
energy of formation: 6.24 eV per formula unit
symmetry: No. 65
DOS at the Fermi energy: 14.4 states/eV per cell
spin magnetization: 0.00 μB per formula unit

Lattice parameters (Å, degrees): 8.615 8.615 5.470 90.00 90.00 118.82
Element x y z (fractional)
Dy (0.000, 0.000, 0.000)
Dy (0.202, 0.436, 0.000)
Dy (0.257, 0.743, 0.500)
Dy (0.436, 0.202, 0.000)
Dy (0.564, 0.798, 0.000)
Dy (0.743, 0.257, 0.500)
Dy (0.798, 0.564, 0.000)
Mg (0.500, 0.500, 0.500)
Sc (0.209, 0.791, 0.000)
Sc (0.791, 0.209, 0.000)

What did the fourth record say?
A plane-wave DFT calculation with GGA-PBE was carried out for crystalline Dy2Mg2Sc at its relaxed geometry.

## Properties
crystal system: orthorhombic
energy of formation: 0.75 eV per formula unit
energy above the most stable polymorph in this dataset: 0.184 eV/atom
symmetry: No. 71
DOS at the Fermi energy: 13.4 states/eV per cell
spin magnetization: 0.00 μB per formula unit

Lattice parameters (Å, degrees): 3.636 7.489 10.351 90.00 90.00 90.00
Element x y z (fractional)
Dy (0.000, 0.000, 0.239)
Dy (0.000, 0.000, 0.761)
Dy (0.500, 0.500, 0.261)
Dy (0.500, 0.500, 0.739)
Mg (0.000, 0.309, 0.500)
Mg (0.000, 0.691, 0.500)
Mg (0.500, 0.191, 0.000)
Mg (0.500, 0.809, 0.000)
Sc (0.000, 0.500, 0.000)
Sc (0.500, 0.000, 0.500)

> What is the energy of formation in the eighth record?

-0.89 eV per formula unit

Copy entry 4 word for word.
A plane-wave DFT calculation with GGA-PBE was carried out for crystalline Dy2Mg2Sc at its relaxed geometry.

## Properties
crystal system: orthorhombic
energy of formation: 0.75 eV per formula unit
energy above the most stable polymorph in this dataset: 0.184 eV/atom
symmetry: No. 71
DOS at the Fermi energy: 13.4 states/eV per cell
spin magnetization: 0.00 μB per formula unit

Lattice parameters (Å, degrees): 3.636 7.489 10.351 90.00 90.00 90.00
Element x y z (fractional)
Dy (0.000, 0.000, 0.239)
Dy (0.000, 0.000, 0.761)
Dy (0.500, 0.500, 0.261)
Dy (0.500, 0.500, 0.739)
Mg (0.000, 0.309, 0.500)
Mg (0.000, 0.691, 0.500)
Mg (0.500, 0.191, 0.000)
Mg (0.500, 0.809, 0.000)
Sc (0.000, 0.500, 0.000)
Sc (0.500, 0.000, 0.500)

> Number 4 is which compound?

Dy2Mg2Sc